{"formula": "ScMnAu3", "functional": "PBE", "state": "relaxed", "cell": [[4.8602, 0.0000, 0.0000], [0.0000, 4.8602, 0.0000], [0.0000, 0.0000, 4.8602]], "species": ["Au", "Au", "Au", "Sc", "Mn"], "frac_coords": [[0.5000, 0.0000, 0.0000], [0.0000, 0.0000, 0.5000], [0.0000, 0.5000, 0.0000], [0.5000, 0.5000, 0.5000], [0.0000, 0.0000, 0.0000]], "energy_ev_per_atom": -4.76, "spacegroup": "Pm-3m (221)", "formation_enthalpy_0k_kcal_per_mol_atoms": 7.0, "de_polymorph_ev_per_atom": 0.000, "dos_ef_per_ev_atom": 1.11}

---

{"formula": "ScMnAu2", "functional": "PBE", "state": "relaxed", "cell": [[-2.4592, 3.7986, 4.1934], [-2.1111, -4.8958, -3.1042], [3.3427, -4.9254, -1.6212]], "species": ["Au", "Au", "Sc", "Mn"], "frac_coords": [[0.0000, 0.7364, 0.7364], [0.0000, 0.2636, 0.2636], [0.0000, 0.0000, 0.0000], [0.0000, 0.5000, 0.5000]], "energy_ev_per_atom": -5.28, "spacegroup": "Immm (71)", "formation_enthalpy_0k_kcal_per_mol_atoms": 5.4, "dos_ef_per_ev_atom": 0.78}

---

{"formula": "ScMnAu2", "functional": "PBE", "state": "relaxed", "cell": [[4.0577, 0.0000, 0.0000], [0.0000, 4.0577, 0.0000], [2.0288, 2.0288, 9.4755]], "species": ["Au", "Au", "Au", "Au", "Sc", "Sc", "Mn", "Mn"], "frac_coords": [[0.1139, 0.6250, 0.2500], [0.6361, 0.1250, 0.2500], [0.3750, 0.3639, 0.7500], [0.8750, 0.8861, 0.7500], [0.2500, 0.7500, 0.5000], [0.5000, 0.5000, 0.0000], [0.0000, 0.0000, 0.0000], [0.7500, 0.2500, 0.5000]], "energy_ev_per_atom": -5.48, "spacegroup": "I-42d (122)", "formation_enthalpy_0k_kcal_per_mol_atoms": 0.8, "dos_ef_per_ev_atom": 0.77}

---

{"formula": "ScMn2Au2", "functional": "PBE", "state": "relaxed", "cell": [[7.5828, 0.0000, 0.0000], [0.0000, 7.5828, 0.0000], [0.0000, 0.0000, 3.0980]], "species": ["Au", "Au", "Au", "Au", "Mn", "Mn", "Mn", "Mn", "Sc", "Sc"], "frac_coords": [[0.3346, 0.1654, 0.5000], [0.1654, 0.6654, 0.5000], [0.6654, 0.8346, 0.5000], [0.8346, 0.3346, 0.5000], [0.6329, 0.1329, 0.0000], [0.8671, 0.6329, 0.0000], [0.1329, 0.3671, 0.0000], [0.3671, 0.8671, 0.0000], [0.0000, 0.0000, 0.0000], [0.5000, 0.5000, 0.0000]], "energy_ev_per_atom": -6.34, "spacegroup": "P4/mbm (127)", "formation_enthalpy_0k_kcal_per_mol_atoms": -2.2, "dos_ef_per_ev_atom": 0.88}

---

{"formula": "ScMnAu2", "functional": "PBE", "state": "relaxed", "cell": [[-1.7298, -2.5304, -1.6400], [3.0674, -1.4576, -0.9866], [0.0507, -3.2200, 4.9148]], "species": ["Sc", "Au", "Au", "Mn"], "frac_coords": [[0.5000, 0.5000, 0.7578], [0.0000, 0.0000, 0.9922], [0.5000, 0.5000, 0.2733], [0.0000, 0.0000, 0.4768]], "energy_ev_per_atom": -5.85, "spacegroup": "Pmm2 (25)", "formation_enthalpy_0k_kcal_per_mol_atoms": -7.8, "dos_ef_per_ev_atom": 1.00}

---

{"formula": "ScMnSnAu", "functional": "PBE", "state": "relaxed", "cell": [[-4.4844, -0.5067, -1.5564], [-1.5092, -4.2398, -1.5923], [-3.1418, -2.5285, 2.5544]], "species": ["Sc", "Mn", "Au", "Sn"], "frac_coords": [[0.5000, 0.5000, 0.5000], [0.0000, 0.0000, 0.0000], [0.7500, 0.7500, 0.7500], [0.2500, 0.2500, 0.2500]], "energy_ev_per_atom": -5.99, "spacegroup": "F-43m (216)", "formation_enthalpy_0k_kcal_per_mol_atoms": -6.9, "dos_ef_per_ev_atom": 1.10}